Record 1
# GGA-PBE Na2CdHAu, relaxed
# Energy relative to the lowest polymorph listed for this composition in eV per atom: 0.008
# Total magnetization in μB/f.u.: 0.000
data_Na2CdHAu
_chemical_formula_sum 'Na2 Cd1 H1 Au1'
_space_group_name_H-M_alt 'P 4/m m m'
_space_group_IT_number 123
_space_group_name_Hall '-P 4 2'
_cell_length_a 4.492
_cell_length_b 4.492
_cell_length_c 4.534
_cell_angle_alpha 90.00
_cell_angle_beta 90.00
_cell_angle_gamma 90.00
loop_
_atom_site_label
_atom_site_fract_x
_atom_site_fract_y
_atom_site_fract_z
Na1 0.000 0.500 0.000
Cd1 0.000 0.000 0.500
H1 0.000 0.000 0.000
Au1 0.500 0.500 0.500



Record 2
# GGA-PBE Nd2Co3C2, relaxed
# Total magnetization in μB/f.u.: 0.761
# Energy of formation in eV per formula unit: 0.9
data_Nd2Co3C2
_chemical_formula_sum 'Nd4 Co6 C4'
_space_group_name_H-M_alt 'C 1 2/m 1'
_space_group_IT_number 12
_cell_length_a 9.836
_cell_length_b 3.502
_cell_length_c 6.382
_cell_angle_alpha 90.00
_cell_angle_beta 114.62
_cell_angle_gamma 90.00
loop_
_space_group_symop_operation_xyz
'x,y,z'
'-x,-y,-z'
'-x,y,-z'
'x,-y,z'
'x+1/2,y+1/2,z'
'-x+1/2,-y+1/2,-z'
'-x+1/2,y+1/2,-z'
'x+1/2,-y+1/2,z'
loop_
_atom_site_label
_atom_site_fract_x
_atom_site_fract_y
_atom_site_fract_z
Nd1 0.117 0.000 0.286
Co1 0.000 0.500 0.500
Co2 0.167 0.500 0.902
C1 0.179 0.000 0.776



Record 3
# GGA-PBE AcHoTlPd, relaxed
# Total magnetization in μB/f.u.: 0.000
# Energy of formation in eV per formula unit: -1.8
data_AcHoTlPd
_chemical_formula_sum 'Ac4 Ho4 Tl4 Pd4'
_space_group_name_H-M_alt 'F -4 3 m'
_space_group_IT_number 216
_space_group_name_Hall 'F -4 2 3'
_cell_length_a 7.653
_cell_length_b 7.653
_cell_length_c 7.653
_cell_angle_alpha 90.00
_cell_angle_beta 90.00
_cell_angle_gamma 90.00
loop_
_atom_site_label
_atom_site_fract_x
_atom_site_fract_y
_atom_site_fract_z
Ac1 0.000 0.000 0.000
Ho1 0.000 0.000 0.500
Tl1 0.250 0.250 0.750
Pd1 0.250 0.250 0.250



Record 4
# GGA-PBE CaTb3Ga4, relaxed
# Total magnetization in μB/f.u.: 0.000
# Energy of formation in eV per formula unit: -4.3
data_CaTb3Ga4
_chemical_formula_sum 'Ca2 Tb6 Ga8'
_space_group_name_H-M_alt 'P m m a'
_space_group_IT_number 51
_cell_length_a 10.203
_cell_length_b 7.184
_cell_length_c 5.100
_cell_angle_alpha 90.00
_cell_angle_beta 90.00
_cell_angle_gamma 90.00
loop_
_space_group_symop_operation_xyz
'x,y,z'
'-x,-y,-z'
'-x+1/2,-y,z'
'x+1/2,y,-z'
'x+1/2,-y,-z'
'-x+1/2,y,z'
'-x,y,-z'
'x,-y,z'
loop_
_atom_site_label
_atom_site_fract_x
_atom_site_fract_y
_atom_site_fract_z
Ca1 0.000 0.000 0.000
Tb1 0.000 0.500 0.000
Tb2 0.250 0.000 0.499
Tb3 0.250 0.500 0.499
Ga1 0.000 0.252 0.500
Ga2 0.250 0.252 0.999



Record 5
# GGA-PBE IrC4, relaxed
# Energy relative to the lowest polymorph listed for this composition in eV per atom: 0.697
# Total magnetization in μB/f.u.: 0.000
# Energy of formation in eV per formula unit: 6.4
data_IrC4
_chemical_formula_sum 'Ir3 C12'
_space_group_name_H-M_alt 'P 31 2 1'
_space_group_IT_number 152
_cell_length_a 4.8921
_cell_length_b 4.8921
_cell_length_c 5.9145
_cell_angle_alpha 90.00
_cell_angle_beta 90.00
_cell_angle_gamma 120.00
loop_
_space_group_symop_operation_xyz
'x,y,z'
'-y,x-y,z+1/3'
'-x+y,-x,z+2/3'
'y,x,-z'
'x-y,-y,-z+2/3'
'-x,-x+y,-z+1/3'
loop_
_atom_site_label
_atom_site_fract_x
_atom_site_fract_y
_atom_site_fract_z
Ir1 0.0000 0.3205 0.1667
C1 0.0000 0.1544 0.6667
C2 0.0000 0.5798 0.6667
C3 0.1565 0.4431 0.5216



Record 6
# GGA-PBE MnCu2Pt, relaxed
# Total magnetization in μB/f.u.: 3.985
# Energy of formation in eV per formula unit: -0.5
data_MnCu2Pt
_chemical_formula_sum 'Mn2 Cu4 Pt2'
_space_group_name_H-M_alt 'C 1 2/m 1'
_space_group_IT_number 12
_cell_length_a 8.873
_cell_length_b 2.843
_cell_length_c 4.434
_cell_angle_alpha 90.00
_cell_angle_beta 103.43
_cell_angle_gamma 90.00
loop_
_space_group_symop_operation_xyz
'x,y,z'
'-x,-y,-z'
'-x,y,-z'
'x,-y,z'
'x+1/2,y+1/2,z'
'-x+1/2,-y+1/2,-z'
'-x+1/2,y+1/2,-z'
'x+1/2,-y+1/2,z'
loop_
_atom_site_label
_atom_site_fract_x
_atom_site_fract_y
_atom_site_fract_z
Mn1 0.000 0.000 0.000
Cu1 0.249 0.500 0.246
Pt1 0.000 0.500 0.500